Record 1
This record from Alexandria describes a relaxed structure of LaMnCo2W. The functional is GGA-PBEsol.

Lattice parameters (Å, degrees): 4.443 4.355 4.355 90.00 90.00 90.00
Last column: magnetic moment on the atom in μB.
Sites, in units of the cell vectors:
Mn: 0.000 0.000 0.000  -0.02
La: 0.500 0.500 0.500  -0.03
Co: 0.000 0.500 0.000  0.55
Co: 0.000 0.000 0.500  0.55
W: 0.500 0.000 0.000  0.02

Computed properties:
Energy relative to the elements ... 789 meV/atom
Total energy ... -40.45 eV per cell
Total magnetization ... 1.02 μB/f.u.

Record 2
This record from Alexandria describes a relaxed structure of CeAs2Rh2. The functional is GGA-PBEsol.

Lattice parameters (Å, degrees): 4.216 4.216 9.839 90.00 90.00 90.00
Last column: magnetic moment on the atom in μB.
Sites, in units of the cell vectors:
Rh: 0.500 0.000 0.379  0.01
Rh: 0.000 0.500 0.621  0.01
As: 0.000 0.500 0.863  0.00
Ce: 0.000 0.500 0.252  -0.01
Ce: 0.500 0.000 0.748  -0.01
As: 0.500 0.000 0.137  0.00
Rh: 0.500 0.500 0.000  0.00
As: 0.500 0.500 0.500  0.28
As: 0.000 0.000 0.500  0.28
Rh: 0.000 0.000 0.000  0.00

Computed properties:
Energy relative to the elements ... -931 meV/atom
Total energy ... -75.48 eV per cell
Total magnetization ... 0.29 μB/f.u.

Record 3
This record from Alexandria describes a relaxed structure of Ta2ReW. The functional is GGA-PBEsol.

Lattice parameters (Å, degrees): 3.176 3.176 6.438 90.00 90.00 90.00
Sites, in units of the cell vectors:
Ta: 0.000 0.000 0.994
Re: 0.500 0.500 0.745
Ta: 0.500 0.500 0.254
W: 0.000 0.000 0.506

Computed properties:
Energy relative to the elements ... -181 meV/atom
Total energy ... -52.97 eV per cell
Total magnetization ... 0.00 μB/f.u.

Record 4
This record from Alexandria describes a relaxed structure of SrTl2Au. The functional is GGA-PBEsol.

Lattice parameters (Å, degrees): 3.879 5.434 6.057 116.65 108.68 90.00
Sites, in units of the cell vectors:
Au: 0.500 0.000 0.000
Sr: 0.000 0.500 0.000
Tl: 0.218 0.218 0.435
Tl: 0.782 0.782 0.565

Computed properties:
Energy relative to the elements ... -347 meV/atom
Total energy ... -12.41 eV per cell
Total magnetization ... 0.00 μB/f.u.

Record 5
This record from Alexandria describes a relaxed structure of Sr4CaFe5O15. The functional is GGA-PBEsol.

Lattice parameters (Å, degrees): 3.769 8.425 8.425 90.00 90.00 90.00
Last column: magnetic moment on the atom in μB.
Sites, in units of the cell vectors:
O: 0.500 0.398 0.700  0.15
Fe: 0.500 0.500 0.500  2.74
Ca: 0.000 0.000 0.000  0.01
O: 0.500 0.602 0.300  0.15
O: 0.500 0.098 0.804  0.15
O: 0.000 0.098 0.295  0.14
O: 0.000 0.705 0.098  0.14
O: 0.000 0.902 0.705  0.14
O: 0.500 0.804 0.902  0.15
O: 0.500 0.902 0.196  0.15
O: 0.500 0.700 0.602  0.15
O: 0.500 0.500 0.000  0.14
O: 0.500 0.300 0.398  0.15
O: 0.500 0.196 0.098  0.15
Fe: 0.500 0.099 0.298  2.72
O: 0.500 0.000 0.500  0.14
Sr: 0.000 0.600 0.801  0.01
Fe: 0.500 0.901 0.702  2.72
Fe: 0.500 0.298 0.901  2.72
O: 0.000 0.295 0.902  0.14
Sr: 0.000 0.400 0.199  0.01
O: 0.000 0.500 0.500  0.15
Sr: 0.000 0.801 0.400  0.01
Fe: 0.500 0.702 0.099  2.72
Sr: 0.000 0.199 0.600  0.01

Computed properties:
ΔE_f (raw) ... -51.16 eV/f.u.
Total energy ... -184.21 eV per cell
Total magnetization ... 16.68 μB/f.u.

Record 6
This record from Alexandria describes a relaxed structure of Ta2TeRh. The functional is GGA-PBEsol.

Lattice parameters (Å, degrees): 3.631 4.222 5.247 113.74 110.25 90.00
Sites, in units of the cell vectors:
Ta: 0.750 0.750 0.500
Ta: 0.250 0.250 0.500
Te: 0.500 0.000 0.000
Rh: 0.000 0.500 0.000

Computed properties:
ΔE_f (raw) ... -0.23 eV/f.u.
Total energy ... -37.00 eV per cell
Total magnetization ... 0.00 μB/f.u.

Record 7
This record from Alexandria describes a relaxed structure of Sr2NiW. The functional is GGA-PBEsol.

Lattice parameters (Å, degrees): 5.208 5.208 5.208 60.00 60.00 60.00
Last column: magnetic moment on the atom in μB.
Sites, in units of the cell vectors:
Ni: 0.000 0.000 0.000  0.57
W: 0.500 0.500 0.500  2.40
Sr: 0.250 0.250 0.250  0.06
Sr: 0.750 0.750 0.750  0.06

Computed properties:
Energy relative to the elements ... 1293 meV/atom
Total energy ... -18.47 eV per cell
Total magnetization ... 3.90 μB/f.u.
Polymorph energy (0 for the lowest one) ... 604 meV/atom

Record 8
This record from Alexandria describes a relaxed structure of MnCdCoW2. The functional is GGA-PBEsol.

Lattice parameters (Å, degrees): 4.407 4.407 4.663 90.00 90.00 90.00
Last column: magnetic moment on the atom in μB.
Sites, in units of the cell vectors:
W: 0.500 0.000 0.000  -0.41
W: 0.000 0.500 0.000  -0.41
Co: 0.000 0.000 0.000  -0.06
Mn: 0.500 0.500 0.500  3.90
Cd: 0.000 0.000 0.500  0.00

Computed properties:
Energy relative to the elements ... 1477 meV/atom
Total energy ... -38.93 eV per cell
Total magnetization ... 3.09 μB/f.u.

Record 9
This record from Alexandria describes a relaxed structure of LiRe4Pb. The functional is GGA-PBEsol.

Lattice parameters (Å, degrees): 5.237 5.237 5.237 60.00 60.00 60.00
Sites, in units of the cell vectors:
Re: 0.376 0.376 0.376
Li: 0.750 0.750 0.750
Pb: 0.000 0.000 0.000
Re: 0.873 0.376 0.376
Re: 0.376 0.873 0.376
Re: 0.376 0.376 0.873

Computed properties:
Energy relative to the elements ... 681 meV/atom
Total energy ... -55.21 eV per cell
Total magnetization ... 0.00 μB/f.u.

Record 10
This record from Alexandria describes a relaxed structure of CsAsCl2. The functional is GGA-PBEsol.

Lattice parameters (Å, degrees): 4.771 4.771 6.303 67.76 67.76 60.00
Sites, in units of the cell vectors:
Cl: 0.207 0.207 0.378
As: 0.500 0.500 0.500
Cl: 0.793 0.793 0.622
Cs: 0.000 0.000 0.000

Computed properties:
ΔE_f (raw) ... -2.54 eV/f.u.
Total energy ... -12.60 eV per cell
Total magnetization ... 0.00 μB/f.u.

Record 11
This record from Alexandria describes a relaxed structure of Li3BiN. The functional is GGA-PBEsol.

Lattice parameters (Å, degrees): 4.102 4.102 4.102 90.00 90.00 90.00
Sites, in units of the cell vectors:
Li: 0.000 0.000 0.500
Bi: 0.500 0.500 0.500
Li: 0.000 0.500 0.000
N: 0.000 0.000 0.000
Li: 0.500 0.000 0.000

Computed properties:
ΔE_f (raw) ... -0.77 eV/f.u.
Total energy ... -19.48 eV per cell
Total magnetization ... 0.00 μB/f.u.
Polymorph energy (0 for the lowest one) ... 0 meV/atom

Record 12
This record from Alexandria describes a relaxed structure of ZrMnCrPt2. The functional is GGA-PBEsol.

Lattice parameters (Å, degrees): 4.528 4.853 4.853 90.00 90.00 90.00
Last column: magnetic moment on the atom in μB.
Sites, in units of the cell vectors:
Mn: 0.500 0.000 0.000  2.97
Cr: 0.500 0.500 0.500  3.89
Zr: 0.000 0.000 0.000  -0.27
Pt: 0.000 0.000 0.500  -0.02
Pt: 0.000 0.500 0.000  -0.02

Computed properties:
Energy relative to the elements ... 1262 meV/atom
Total energy ... -36.71 eV per cell
Total magnetization ... 7.15 μB/f.u.

Record 13
This record from Alexandria describes a relaxed structure of YCrTc2. The functional is GGA-PBEsol.

Lattice parameters (Å, degrees): 4.433 4.433 4.433 60.00 60.00 60.00
Sites, in units of the cell vectors:
Cr: 0.500 0.500 0.500
Tc: 0.750 0.750 0.750
Tc: 0.000 0.000 0.000
Y: 0.250 0.250 0.250

Computed properties:
Energy relative to the elements ... 326 meV/atom
Total energy ... -38.29 eV per cell
Total magnetization ... 0.01 μB/f.u.
Polymorph energy (0 for the lowest one) ... 20 meV/atom

Record 14
This record from Alexandria describes a relaxed structure of K3MoI. The functional is GGA-PBEsol.

Lattice parameters (Å, degrees): 6.722 6.722 6.722 90.00 90.00 90.00
Last column: magnetic moment on the atom in μB.
Sites, in units of the cell vectors:
K: 0.000 0.000 0.500  0.04
K: 0.000 0.500 0.000  0.04
K: 0.500 0.000 0.000  0.04
I: 0.500 0.500 0.500  0.02
Mo: 0.000 0.000 0.000  4.25

Computed properties:
ΔE_f (raw) ... 4.08 eV/f.u.
Total energy ... -12.85 eV per cell
Total magnetization ... 6.17 μB/f.u.

Record 15
This record from Alexandria describes a relaxed structure of SrOsRh. The functional is GGA-PBEsol.

Lattice parameters (Å, degrees): 4.517 4.517 4.517 60.00 60.00 60.00
Last column: magnetic moment on the atom in μB.
Sites, in units of the cell vectors:
Sr: 0.750 0.750 0.750  0.02
Os: 0.000 0.000 0.000  1.51
Rh: 0.500 0.500 0.500  0.45

Computed properties:
Energy relative to the elements ... 2067 meV/atom
Total energy ... -15.99 eV per cell
Total magnetization ... 2.10 μB/f.u.

Record 16
This record from Alexandria describes a relaxed structure of NbClF2. The functional is GGA-PBEsol.

Lattice parameters (Å, degrees): 2.806 2.806 9.794 81.76 81.76 60.00
Sites, in units of the cell vectors:
Cl: 0.000 0.000 0.000
Nb: 0.500 0.500 0.500
F: 0.885 0.885 0.346
F: 0.115 0.115 0.654

Computed properties:
ΔE_f (raw) ... -6.11 eV/f.u.
Total energy ... -22.80 eV per cell
Total magnetization ... 0.00 μB/f.u.
Polymorph energy (0 for the lowest one) ... 8 meV/atom

Record 17
This record from Alexandria describes a relaxed structure of NiPbCl2. The functional is GGA-PBEsol.

Lattice parameters (Å, degrees): 3.458 4.301 5.465 90.00 90.00 90.00
Last column: magnetic moment on the atom in μB.
Sites, in units of the cell vectors:
Cl: 0.000 0.000 0.000  0.02
Ni: 0.500 0.500 0.000  0.28
Cl: 0.500 0.000 0.500  0.00
Pb: 0.000 0.500 0.500  -0.01

Computed properties:
ΔE_f (raw) ... 0.06 eV/f.u.
Total energy ... -14.11 eV per cell
Total magnetization ... 0.25 μB/f.u.
Polymorph energy (0 for the lowest one) ... 389 meV/atom

Record 18
This record from Alexandria describes a relaxed structure of MnAu2. The functional is GGA-PBEsol.

Lattice parameters (Å, degrees): 4.514 4.514 5.486 90.00 90.00 120.00
Last column: magnetic moment on the atom in μB.
Sites, in units of the cell vectors:
Au: 0.000 0.000 0.000  0.03
Au: 0.333 0.667 0.250  0.08
Au: 0.000 0.000 0.500  0.03
Mn: 0.333 0.667 0.750  3.84
Au: 0.667 0.333 0.750  0.08
Mn: 0.667 0.333 0.250  3.84

Computed properties:
Energy relative to the elements ... 53 meV/atom
Total energy ... -34.90 eV per cell
Total magnetization ... 4.08 μB/f.u.
Polymorph energy (0 for the lowest one) ... 94 meV/atom

Record 19
This record from Alexandria describes a relaxed structure of CaMnP2. The functional is GGA-PBEsol.

Lattice parameters (Å, degrees): 3.556 3.729 20.329 90.00 90.00 90.00
Last column: magnetic moment on the atom in μB.
Sites, in units of the cell vectors:
P: 0.250 0.194 0.503  0.00
P: 0.250 0.794 0.316  -0.07
Mn: 0.750 0.706 0.748  1.44
P: 0.250 0.706 0.816  -0.07
Mn: 0.750 0.794 0.248  1.44
Mn: 0.250 0.206 0.752  1.44
Ca: 0.250 0.707 0.613  -0.02
P: 0.750 0.694 0.997  0.00
P: 0.250 0.306 0.003  0.00
Ca: 0.750 0.207 0.887  -0.02
P: 0.750 0.206 0.684  -0.07
Ca: 0.750 0.293 0.387  -0.02
P: 0.750 0.294 0.184  -0.07
Ca: 0.250 0.793 0.113  -0.02
P: 0.750 0.806 0.497  0.00
Mn: 0.250 0.294 0.252  1.44

Computed properties:
Energy relative to the elements ... -783 meV/atom
Total energy ... -106.44 eV per cell
Total magnetization ... 1.31 μB/f.u.
Polymorph energy (0 for the lowest one) ... 0 meV/atom

Record 20
This record from Alexandria describes a relaxed structure of CaSe. The functional is GGA-PBEsol.

Lattice parameters (Å, degrees): 4.153 4.153 4.153 60.00 60.00 60.00
Sites, in units of the cell vectors:
Se: 0.000 0.000 0.000
Ca: 0.500 0.500 0.500

Computed properties:
ΔE_f (raw) ... -4.09 eV/f.u.
Total energy ... -10.07 eV per cell
Total magnetization ... 0.00 μB/f.u.

Record 21
This record from Alexandria describes a relaxed structure of Ir3Au. The functional is GGA-PBEsol.

Lattice parameters (Å, degrees): 2.697 4.712 4.712 90.00 90.00 90.00
Sites, in units of the cell vectors:
Ir: 0.000 0.500 0.500
Ir: 0.500 0.000 0.500
Au: 0.000 0.000 0.000
Ir: 0.500 0.500 0.000

Computed properties:
Energy relative to the elements ... 493 meV/atom
Total energy ... -31.42 eV per cell
Total magnetization ... 0.00 μB/f.u.

Record 22
This record from Alexandria describes a relaxed structure of LiTi3Se6. The functional is GGA-PBEsol.

Lattice parameters (Å, degrees): 3.510 3.510 18.390 90.00 90.00 120.00
Sites, in units of the cell vectors:
Ti: 0.000 0.000 0.000
Li: 0.000 0.000 0.500
Se: 0.333 0.667 0.761
Ti: 0.000 0.000 0.679
Se: 0.333 0.667 0.083
Se: 0.667 0.333 0.917
Se: 0.667 0.333 0.592
Se: 0.333 0.667 0.408
Ti: 0.000 0.000 0.321
Se: 0.667 0.333 0.239

Computed properties:
ΔE_f (raw) ... -11.88 eV/f.u.
Total energy ... -61.91 eV per cell
Total magnetization ... 0.00 μB/f.u.

Record 23
This record from Alexandria describes a relaxed structure of BaTaCd2. The functional is GGA-PBEsol.

Lattice parameters (Å, degrees): 3.115 4.190 7.758 90.00 90.00 90.00
Sites, in units of the cell vectors:
Cd: 0.500 0.500 0.268
Ta: 0.000 0.000 0.431
Ba: 0.500 0.500 0.745
Cd: 0.000 0.000 0.056

Computed properties:
Energy relative to the elements ... 545 meV/atom
Total energy ... -14.91 eV per cell
Total magnetization ... 0.00 μB/f.u.
Polymorph energy (0 for the lowest one) ... 277 meV/atom

Record 24
This record from Alexandria describes a relaxed structure of SmMg2Sc. The functional is GGA-PBEsol.

Lattice parameters (Å, degrees): 5.202 5.202 5.202 60.00 60.00 60.00
Sites, in units of the cell vectors:
Sc: 0.500 0.500 0.500
Mg: 0.250 0.250 0.250
Sm: 0.000 0.000 0.000
Mg: 0.750 0.750 0.750

Computed properties:
Energy relative to the elements ... -58 meV/atom
Total energy ... -15.36 eV per cell
Total magnetization ... 0.00 μB/f.u.

Record 25
This record from Alexandria describes a relaxed structure of Hf2Al3Au. The functional is GGA-PBEsol.

Lattice parameters (Å, degrees): 5.209 5.209 5.209 60.83 60.83 60.83
Sites, in units of the cell vectors:
Al: 0.000 0.500 0.000
Hf: 0.376 0.376 0.376
Al: 0.000 0.000 0.500
Hf: 0.624 0.624 0.624
Au: 0.000 0.000 0.000
Al: 0.500 0.000 0.000

Computed properties:
Energy relative to the elements ... -553 meV/atom
Total energy ... -40.52 eV per cell
Total magnetization ... 0.00 μB/f.u.

Record 26
This record from Alexandria describes a relaxed structure of Zn2MoCl. The functional is GGA-PBEsol.

Lattice parameters (Å, degrees): 2.856 4.846 4.846 115.97 90.00 90.00
Sites, in units of the cell vectors:
Zn: 0.000 0.500 0.000
Zn: 0.000 0.000 0.500
Mo: 0.500 0.500 0.500
Cl: 0.500 0.000 0.000

Computed properties:
ΔE_f (raw) ... 0.90 eV/f.u.
Total energy ... -16.04 eV per cell
Total magnetization ... 0.00 μB/f.u.
Polymorph energy (0 for the lowest one) ... 0 meV/atom

Record 27
This record from Alexandria describes a relaxed structure of TaMnOs2. The functional is GGA-PBEsol.

Lattice parameters (Å, degrees): 2.766 3.763 5.469 90.00 90.02 90.00
Last column: magnetic moment on the atom in μB.
Sites, in units of the cell vectors:
Os: 0.000 0.000 0.996  -0.10
Mn: 0.500 0.500 0.764  1.64
Ta: 0.000 0.000 0.506  -0.08
Os: 0.500 0.500 0.234  0.06

Computed properties:
Energy relative to the elements ... 49 meV/atom
Total energy ... -46.55 eV per cell
Total magnetization ... 1.56 μB/f.u.